Record 1
# KZrTl2 (GGA-PBE, optimized geometry)
data_KZrTl2
_chemical_formula_sum 'K4 Zr4 Tl8'
_cell_length_a 7.660
_cell_length_b 7.660
_cell_length_c 7.660
_cell_angle_alpha 90.00
_cell_angle_beta 90.00
_cell_angle_gamma 90.00
_symmetry_space_group_name_H-M 'F m -3 m'
_symmetry_Int_Tables_number 225
_symmetry_space_group_name_Hall '-F 4 2 3'
loop_
_atom_site_label
_atom_site_type_symbol
_atom_site_fract_x
_atom_site_fract_y
_atom_site_fract_z
_atom_site_occupancy
K1 K 0.000 0.000 0.000 1
Zr1 Zr 0.000 0.000 0.500 1
Tl1 Tl 0.250 0.250 0.250 1
# Uncorrected energy (eV/atom): -3.2612
# E above lowest polymorph (meV/atom): 297
# D(E_F) (states/eV/cell): 19.04

Record 2
# Nb2ZnW (GGA-PBE, optimized geometry)
data_Nb2ZnW
_chemical_formula_sum 'Nb2 Zn1 W1'
_cell_length_a 4.450
_cell_length_b 4.450
_cell_length_c 3.390
_cell_angle_alpha 90.00
_cell_angle_beta 90.00
_cell_angle_gamma 90.00
_symmetry_space_group_name_H-M 'P 4/m m m'
_symmetry_Int_Tables_number 123
_symmetry_space_group_name_Hall '-P 4 2'
loop_
_atom_site_label
_atom_site_type_symbol
_atom_site_fract_x
_atom_site_fract_y
_atom_site_fract_z
_atom_site_occupancy
Nb1 Nb 0.000 0.500 0.000 1
Zn1 Zn 0.000 0.000 0.500 1
W1 W 0.500 0.500 0.500 1
# Uncorrected energy (eV/atom): -8.5765
# D(E_F) (states/eV/cell): 1.83

Number 1: energy of formation 0.33 eV per atom. Number 2: energy of formation 0.02 eV per atom.